one:
This record from the Open Quantum Materials Database describes a geometry-optimized NaYFeTe3 structure. The functional is PBE.

Calculated values
Its symmetry is Cmcm (63). Its volume is 29.43 Å³ per atom.

abc: 4.238 7.646 11.343
angles: 90.00 90.00 73.91
Last column: magnetic moment on the atom in μB.
Atoms (fractional coordinates):
1 Fe 0.529 0.942 0.250  3.15
2 Fe 0.471 0.058 0.750  3.14
3 Na 0.242 0.516 0.250  0.00
4 Na 0.758 0.484 0.750  0.00
5 Te 0.640 0.719 0.070  0.10
6 Te 0.917 0.166 0.250  0.10
7 Te 0.640 0.719 0.430  0.10
8 Te 0.360 0.281 0.570  0.10
9 Te 0.083 0.834 0.750  0.10
10 Te 0.360 0.281 0.930  0.10
11 Y 0.000 0.000 0.000  0.01
12 Y 0.000 0.000 0.500  0.01

---

two:
This record from the Open Quantum Materials Database describes a geometry-optimized NaYFeTe3 structure. The functional is PBE.

Calculated values
Its symmetry is Pnma (62). Its volume is 29.02 Å³ per atom.

abc: 11.549 4.322 13.951
angles: 90.00 90.00 90.00
Last column: magnetic moment on the atom in μB.
Atoms (fractional coordinates):
1 Fe 0.766 0.000 0.220  3.16
2 Fe 0.266 0.000 0.280  3.16
3 Fe 0.734 0.500 0.720  3.15
4 Fe 0.234 0.500 0.780  3.15
5 Na 0.786 0.500 0.009  0.00
6 Na 0.286 0.500 0.491  0.00
7 Na 0.714 0.000 0.509  0.00
8 Na 0.214 0.000 0.991  0.00
9 Te 0.594 0.000 0.098  0.10
10 Te 0.953 0.000 0.115  0.10
11 Te 0.262 0.500 0.168  0.11
12 Te 0.762 0.500 0.332  0.11
13 Te 0.453 0.000 0.385  0.10
14 Te 0.094 0.000 0.402  0.10
15 Te 0.906 0.500 0.598  0.10
16 Te 0.547 0.500 0.615  0.10
17 Te 0.238 0.000 0.668  0.11
18 Te 0.738 0.000 0.832  0.11
19 Te 0.047 0.500 0.885  0.10
20 Te 0.406 0.500 0.902  0.10
21 Y 0.517 0.500 0.238  0.02
22 Y 0.017 0.500 0.262  0.02
23 Y 0.983 0.000 0.738  0.02
24 Y 0.483 0.000 0.762  0.02

---

three:
This record from the Open Quantum Materials Database describes a geometry-optimized NaYFeTe3 structure. The functional is PBE.

Calculated values
Its symmetry is P2_1/m (11). Its volume is 30.15 Å³ per atom.

abc: 8.844 4.207 10.043
angles: 90.00 104.45 90.00
Last column: magnetic moment on the atom in μB.
Atoms (fractional coordinates):
1 Fe 0.565 0.250 0.078  3.04
2 Fe 0.435 0.750 0.922  3.04
3 Na 0.293 0.750 0.243  0.00
4 Na 0.707 0.250 0.757  0.00
5 Te 0.737 0.750 0.029  0.10
6 Te 0.071 0.250 0.334  0.02
7 Te 0.574 0.250 0.344  0.09
8 Te 0.426 0.750 0.656  0.09
9 Te 0.929 0.750 0.666  0.02
10 Te 0.263 0.250 0.971  0.10
11 Y 0.827 0.750 0.351  0.04
12 Y 0.173 0.250 0.649  0.04

---

Stability, highest: three

---

one:
This record from the Open Quantum Materials Database describes a geometry-optimized NaTlFeW structure. The functional is PBE.

Calculated values
Its symmetry is F-43m (216). Its volume is 15.95 Å³ per atom.

abc: 4.485 4.485 4.485
angles: 60.00 60.00 60.00
Atoms (fractional coordinates):
1 Fe 0.250 0.250 0.250
2 Na 0.750 0.750 0.750
3 Tl 0.500 0.500 0.500
4 W 0.000 0.000 0.000

---

two:
This record from the Open Quantum Materials Database describes a geometry-optimized NaTlFeW structure. The functional is PBE.

Calculated values
Its symmetry is F-43m (216). Its volume is 16.97 Å³ per atom.

abc: 4.579 4.579 4.579
angles: 60.00 60.00 60.00
Atoms (fractional coordinates):
1 Fe 0.000 0.000 0.000
2 Na 0.750 0.750 0.750
3 Tl 0.500 0.500 0.500
4 W 0.250 0.250 0.250

---

Stability, highest: one

---

one:
This record from the Open Quantum Materials Database describes a geometry-optimized NaTmFe structure. The functional is PBE.

Calculated values
Its symmetry is F-43m (216). Its volume is 24.83 Å³ per atom.

abc: 4.723 4.723 4.723
angles: 60.00 60.00 60.00
Last column: magnetic moment on the atom in μB.
Atoms (fractional coordinates):
1 Fe 0.000 0.000 0.000  2.33
2 Na 0.250 0.250 0.250  -0.02
3 Tm 0.750 0.750 0.750  -0.29

---

two:
This record from the Open Quantum Materials Database describes a geometry-optimized NaTmFe structure. The functional is PBE.

Calculated values
Its symmetry is F-43m (216). Its volume is 26.00 Å³ per atom.

abc: 4.796 4.796 4.796
angles: 60.00 60.00 60.00
Atoms (fractional coordinates):
1 Fe 0.250 0.250 0.250
2 Na 0.750 0.750 0.750
3 Tm 0.000 0.000 0.000

---

Stability, highest: one

---

one:
This record from the Open Quantum Materials Database describes a geometry-optimized NbFeNiPb structure. The functional is PBE.

Calculated values
Its symmetry is F-43m (216). Its volume is 15.62 Å³ per atom.

abc: 4.454 4.454 4.454
angles: 60.00 60.00 60.00
Atoms (fractional coordinates):
1 Fe 0.750 0.750 0.750
2 Nb 0.500 0.500 0.500
3 Ni 0.250 0.250 0.250
4 Pb 0.000 0.000 0.000

---

two:
This record from the Open Quantum Materials Database describes a geometry-optimized NbFeNiPb structure. The functional is PBE.

Calculated values
Its symmetry is F-43m (216). Its volume is 16.36 Å³ per atom.

abc: 4.523 4.523 4.523
angles: 60.00 60.00 60.00
Atoms (fractional coordinates):
1 Fe 0.500 0.500 0.500
2 Nb 0.250 0.250 0.250
3 Ni 0.750 0.750 0.750
4 Pb 0.000 0.000 0.000

---

Stability, highest: one

---

one:
This record from the Open Quantum Materials Database describes a geometry-optimized NbFeNiSb structure. The functional is PBE.

Calculated values
Its symmetry is F-43m (216). Its volume is 14.65 Å³ per atom.

abc: 4.360 4.360 4.360
angles: 60.00 60.00 60.00
Atoms (fractional coordinates):
1 Fe 0.750 0.750 0.750
2 Nb 0.500 0.500 0.500
3 Ni 0.250 0.250 0.250
4 Sb 0.000 0.000 0.000

---

two:
This record from the Open Quantum Materials Database describes a geometry-optimized NbFeNiSb structure. The functional is PBE.

Calculated values
Its symmetry is F-43m (216). Its volume is 15.39 Å³ per atom.

abc: 4.432 4.432 4.432
angles: 60.00 60.00 60.00
Atoms (fractional coordinates):
1 Fe 0.750 0.750 0.750
2 Nb 0.250 0.250 0.250
3 Ni 0.500 0.500 0.500
4 Sb 0.000 0.000 0.000

---

three:
This record from the Open Quantum Materials Database describes a geometry-optimized NbFeNiSb structure. The functional is PBE.

Calculated values
Its symmetry is F-43m (216). Its volume is 15.61 Å³ per atom.

abc: 4.453 4.453 4.453
angles: 60.00 60.00 60.00
Atoms (fractional coordinates):
1 Fe 0.500 0.500 0.500
2 Nb 0.250 0.250 0.250
3 Ni 0.750 0.750 0.750
4 Sb 0.000 0.000 0.000

---

Stability, highest: one

---

one:
This record from the Open Quantum Materials Database describes a geometry-optimized NbFeSiNi structure. The functional is PBE.

Calculated values
Its symmetry is F-43m (216). Its volume is 13.11 Å³ per atom.

abc: 4.201 4.201 4.201
angles: 60.00 60.00 60.00
Atoms (fractional coordinates):
1 Fe 0.750 0.750 0.750
2 Nb 0.250 0.250 0.250
3 Ni 0.500 0.500 0.500
4 Si 0.000 0.000 0.000

---

two:
This record from the Open Quantum Materials Database describes a geometry-optimized NbFeSiNi structure. The functional is PBE.

Calculated values
Its symmetry is F-43m (216). Its volume is 12.74 Å³ per atom.

abc: 4.162 4.162 4.162
angles: 60.00 60.00 60.00
Atoms (fractional coordinates):
1 Fe 0.750 0.750 0.750
2 Nb 0.500 0.500 0.500
3 Ni 0.250 0.250 0.250
4 Si 0.000 0.000 0.000

---

Stability, highest: two

---

one:
This record from the Open Quantum Materials Database describes a geometry-optimized NbTlFeNi structure. The functional is PBE.

Calculated values
Its symmetry is F-43m (216). Its volume is 15.31 Å³ per atom.

abc: 4.424 4.424 4.424
angles: 60.00 60.00 60.00
Atoms (fractional coordinates):
1 Fe 0.750 0.750 0.750
2 Nb 0.500 0.500 0.500
3 Ni 0.250 0.250 0.250
4 Tl 0.000 0.000 0.000

---

two:
This record from the Open Quantum Materials Database describes a geometry-optimized NbTlFeNi structure. The functional is PBE.

Calculated values
Its symmetry is F-43m (216). Its volume is 16.10 Å³ per atom.

abc: 4.499 4.499 4.499
angles: 60.00 60.00 60.00
Atoms (fractional coordinates):
1 Fe 0.500 0.500 0.500
2 Nb 0.250 0.250 0.250
3 Ni 0.750 0.750 0.750
4 Tl 0.000 0.000 0.000

---

Stability, highest: one

---

one:
This record from the Open Quantum Materials Database describes a geometry-optimized NbFeSiOs structure. The functional is PBE.

Calculated values
Its symmetry is F-43m (216). Its volume is 13.86 Å³ per atom.

abc: 4.280 4.280 4.280
angles: 60.00 60.00 60.00
Atoms (fractional coordinates):
1 Fe 0.750 0.750 0.750
2 Nb 0.500 0.500 0.500
3 Os 0.250 0.250 0.250
4 Si 0.000 0.000 0.000

---

two:
This record from the Open Quantum Materials Database describes a geometry-optimized NbFeSiOs structure. The functional is PBE.

Calculated values
Its symmetry is F-43m (216). Its volume is 14.33 Å³ per atom.

abc: 4.328 4.328 4.328
angles: 60.00 60.00 60.00
Atoms (fractional coordinates):
1 Fe 0.750 0.750 0.750
2 Nb 0.250 0.250 0.250
3 Os 0.500 0.500 0.500
4 Si 0.000 0.000 0.000

---

Stability, highest: one

---

one:
This record from the Open Quantum Materials Database describes a geometry-optimized NbTlFeOs structure. The functional is PBE.

Calculated values
Its symmetry is F-43m (216). Its volume is 16.84 Å³ per atom.

abc: 4.567 4.567 4.567
angles: 60.00 60.00 60.00
Atoms (fractional coordinates):
1 Fe 0.750 0.750 0.750
2 Nb 0.250 0.250 0.250
3 Os 0.500 0.500 0.500
4 Tl 0.000 0.000 0.000

---

two:
This record from the Open Quantum Materials Database describes a geometry-optimized NbTlFeOs structure. The functional is PBE.

Calculated values
Its symmetry is F-43m (216). Its volume is 16.04 Å³ per atom.

abc: 4.494 4.494 4.494
angles: 60.00 60.00 60.00
Atoms (fractional coordinates):
1 Fe 0.750 0.750 0.750
2 Nb 0.500 0.500 0.500
3 Os 0.250 0.250 0.250
4 Tl 0.000 0.000 0.000

---

Stability, highest: two

---

one:
This record from the Open Quantum Materials Database describes a geometry-optimized NbFePb structure. The functional is PBE.

Calculated values
Its symmetry is F-43m (216). Its volume is 21.77 Å³ per atom.

abc: 4.520 4.520 4.520
angles: 60.00 60.00 60.00
Last column: magnetic moment on the atom in μB.
Atoms (fractional coordinates):
1 Fe 0.250 0.250 0.250  2.38
2 Nb 0.000 0.000 0.000  -0.81
3 Pb 0.750 0.750 0.750  0.01

---

two:
This record from the Open Quantum Materials Database describes a geometry-optimized NbFePb structure. The functional is PBE.

Calculated values
Its symmetry is F-43m (216). Its volume is 19.10 Å³ per atom.

abc: 4.328 4.328 4.328
angles: 60.00 60.00 60.00
Atoms (fractional coordinates):
1 Fe 0.000 0.000 0.000
2 Nb 0.250 0.250 0.250
3 Pb 0.750 0.750 0.750

---

Stability, highest: two

---

one:
This record from the Open Quantum Materials Database describes a geometry-optimized NbFePdPb structure. The functional is PBE.

Calculated values
Its symmetry is F-43m (216). Its volume is 17.45 Å³ per atom.

abc: 4.622 4.622 4.622
angles: 60.00 60.00 60.00
Atoms (fractional coordinates):
1 Fe 0.750 0.750 0.750
2 Nb 0.250 0.250 0.250
3 Pb 0.000 0.000 0.000
4 Pd 0.500 0.500 0.500

---

two:
This record from the Open Quantum Materials Database describes a geometry-optimized NbFePdPb structure. The functional is PBE.

Calculated values
Its symmetry is F-43m (216). Its volume is 17.17 Å³ per atom.

abc: 4.597 4.597 4.597
angles: 60.00 60.00 60.00
Atoms (fractional coordinates):
1 Fe 0.750 0.750 0.750
2 Nb 0.500 0.500 0.500
3 Pb 0.000 0.000 0.000
4 Pd 0.250 0.250 0.250

---

Stability, highest: two

---

one:
This record from the Open Quantum Materials Database describes a geometry-optimized NbFePtPb structure. The functional is PBE.

Calculated values
Its symmetry is F-43m (216). Its volume is 17.49 Å³ per atom.

abc: 4.625 4.625 4.625
angles: 60.00 60.00 60.00
Atoms (fractional coordinates):
1 Fe 0.750 0.750 0.750
2 Nb 0.500 0.500 0.500
3 Pb 0.000 0.000 0.000
4 Pt 0.250 0.250 0.250

---

two:
This record from the Open Quantum Materials Database describes a geometry-optimized NbFePtPb structure. The functional is PBE.

Calculated values
Its symmetry is F-43m (216). Its volume is 17.49 Å³ per atom.

abc: 4.625 4.625 4.625
angles: 60.00 60.00 60.00
Atoms (fractional coordinates):
1 Fe 0.750 0.750 0.750
2 Nb 0.250 0.250 0.250
3 Pb 0.000 0.000 0.000
4 Pt 0.500 0.500 0.500

---

Stability, highest: one